The following is a PBE-GGA calculation of a relaxed Tb4GaBiN crystal, from Alexandria via LeMat-Bulk.

Output
total magnetic moment	0.00	μB per formula unit
D(E_F)	16.580	states/eV per cell
raw formation energy	-0.870	eV/atom

Unit cell a=6.664 b=15.822 c=6.682 alpha=90.00 beta=90.00 gamma=90.00
Space group Cmcm (No. 63)
Symmetry-distinct sites (fractional):
1 Tb 0.000 0.083 0.250 (multiplicity 4)
2 Tb 0.000 0.405 0.250 (multiplicity 4)
3 Tb 0.250 0.250 0.000 (multiplicity 8)
4 Ga 0.000 0.115 0.750 (multiplicity 4)
5 Bi 0.000 0.396 0.750 (multiplicity 4)
6 N 0.000 0.246 0.250 (multiplicity 4)

The following is a PBE-GGA calculation of a relaxed GaBiTeN2 crystal, from Alexandria via LeMat-Bulk.

Output
total magnetic moment	2.14	μB per formula unit
D(E_F)	2.377	states/eV per cell
raw formation energy	1.260	eV/atom

Unit cell a=4.256 b=4.256 c=5.477 alpha=90.00 beta=90.00 gamma=90.00
Space group P4/mmm (No. 123)
Symmetry-distinct sites (fractional):
1 Ga 0.000 0.000 0.000 (multiplicity 1)
2 Bi 0.500 0.500 0.500 (multiplicity 1)
3 Te 0.000 0.000 0.500 (multiplicity 1)
4 N 0.000 0.500 0.000 (multiplicity 2)

The following is a PBE-GGA calculation of a relaxed GaBiTeN2 crystal, from Alexandria via LeMat-Bulk.

Output
total magnetic moment	2.11	μB per formula unit
D(E_F)	4.368	states/eV per cell
raw formation energy	1.417	eV/atom

Unit cell a=4.408 b=4.408 c=6.378 alpha=90.00 beta=90.00 gamma=90.00
Space group P4/mmm (No. 123)
Symmetry-distinct sites (fractional):
1 Ga 0.000 0.000 0.000 (multiplicity 1)
2 Bi 0.500 0.500 0.500 (multiplicity 1)
3 Te 0.500 0.500 0.000 (multiplicity 1)
4 N 0.000 0.500 0.500 (multiplicity 2)

Number 1: density 8.8 g/cm3, VASP energy -5.692 eV/atom. Number 2: density 7.3 g/cm3, VASP energy -4.080 eV/atom. Number 3: density 5.8 g/cm3, VASP energy -3.923 eV/atom.